Entry 1:
Below is a geometry-optimized NaRe structure, with properties calculated at the PBE-GGA level.

Cell: 5.2290 5.2290 5.9879 Å, 90.00 90.00 120.00°
Space group P6_3/mmc (No. 194)
Inequivalent atoms, fractional coordinates:
1 Na 0.3333 0.6667 0.2500 [2 per cell]
2 Re 0.3333 0.6667 0.7500 [2 per cell]

Results
The calculation puts the energy of formation at 6.5 eV/f.u. Its energy above the most stable polymorph in this dataset is 2.538 eV/atom. The calculation puts the total energy at -3.64 eV per atom.



Entry 2:
Below is a geometry-optimized Dy8Th4Sc structure, with properties calculated at the PBE-GGA level.

Cell: 10.7020 10.7020 13.9613 Å, 90.00 90.00 120.00°
Space group R-3m (No. 166, hexagonal axes)
Inequivalent atoms, fractional coordinates:
1 Dy 0.0000 0.0000 0.2403 [6 per cell]
2 Dy 0.0160 0.5080 0.7588 [18 per cell]
3 Th 0.0000 0.0000 0.0000 [3 per cell]
4 Th 0.0000 0.5000 0.0000 [9 per cell]
5 Sc 0.0000 0.0000 0.5000 [3 per cell]

Results
The calculation puts the energy of formation at 7.9 eV/f.u. The calculation puts the total energy at -4.99 eV per atom.



Entry 3:
Below is a geometry-optimized TaAgO2 structure, with properties calculated at the PBE-GGA level.

Cell: 2.9580 2.9580 22.9563 Å, 90.00 90.00 120.00°
Space group R-3m (No. 166, hexagonal axes)
Inequivalent atoms, fractional coordinates:
1 Ta 0.0000 0.0000 0.0000 [3 per cell]
2 Ag 0.0000 0.0000 0.5000 [3 per cell]
3 O 0.0000 0.0000 0.3856 [6 per cell]

Results
The calculation puts the total energy at -7.71 eV per atom.



Results for DOS(E_F): 7.253; 65.867; 5.525 (in states/eV/cell, following the order of the records).
Results for total magnetic moment: 8.1; 0.0; 0.0 (in μB per cell, following the order of the records).